No. 1
SrRuN2F: optimized geometry, GGA-PBE.

Summary:
The total energy is -6.60 eV per atom. For the offset from the most stable computed form, the calculation gives 0.0 meV/atom. As for the space group: P4/mmm, No. 123.

Cell: 3.8513 3.8513 4.6894 Å, 90.00 90.00 90.00°
Closest atoms and distances in Å follow each position.
Element x y z (fractional)
Sr 0.0000 0.0000 0.0000  4 F 2.72, 8 N 3.03
Ru 0.5000 0.5000 0.5000  4 N 1.93
N 0.0000 0.5000 0.5000  2 Ru 1.93
N 0.5000 0.0000 0.5000  2 Ru 1.93
F 0.5000 0.5000 0.0000  2 Ru 2.34

No. 2
SrRuN2F: optimized geometry, GGA-PBE.

Summary:
The total energy is -4.45 eV per atom. For the offset from the most stable computed form, the calculation gives 2148.9 meV/atom. As for the space group: P4/mmm, No. 123.

Cell: 4.6184 4.6184 4.3976 Å, 90.00 90.00 90.00°
Closest atoms and distances in Å follow each position.
Element x y z (fractional)
Sr 0.0000 0.0000 0.0000  2 F 2.20, 4 N 2.31
Ru 0.5000 0.5000 0.5000  8 N 3.19, 4 F 3.27
N 0.0000 0.5000 0.0000  2 Sr 2.31
N 0.5000 0.0000 0.0000  2 Sr 2.31
F 0.0000 0.0000 0.5000  2 Sr 2.20

No. 3
SrRuNF2: optimized geometry, GGA-PBE.

Summary:
The total energy is -6.00 eV per atom. For the offset from the most stable computed form, the calculation gives 0.0 meV/atom. As for the space group: P4/mmm, No. 123.

Cell: 4.4031 4.4031 3.8042 Å, 90.00 90.00 90.00°
Closest atoms and distances in Å follow each position.
Element x y z (fractional)
Sr 0.0000 0.0000 0.0000  8 F 2.91, 4 N 3.11
Ru 0.5000 0.5000 0.5000  2 N 1.90
N 0.5000 0.5000 0.0000  2 Ru 1.90
F 0.0000 0.5000 0.5000  2 Ru 2.20
F 0.5000 0.0000 0.5000  2 Ru 2.20

No. 4
SrRuNF2: optimized geometry, GGA-PBE.

Summary:
The total energy is -4.79 eV per atom. For the offset from the most stable computed form, the calculation gives 1213.7 meV/atom. As for the space group: P4/mmm, No. 123.

Cell: 4.4690 4.4690 5.2240 Å, 90.00 90.00 90.00°
Closest atoms and distances in Å follow each position.
Element x y z (fractional)
Sr 0.0000 0.0000 0.0000  4 F 2.23
Ru 0.5000 0.5000 0.5000  4 N 3.16, 8 F 3.44
N 0.0000 0.0000 0.5000  2 Sr 2.61
F 0.0000 0.5000 0.0000  2 Sr 2.23
F 0.5000 0.0000 0.0000  2 Sr 2.23

No. 5
TaRuNF2: optimized geometry, GGA-PBE.

Summary:
The total energy is -6.29 eV per atom. For the offset from the most stable computed form, the calculation gives 834.3 meV/atom. As for the space group: P4/mmm, No. 123.

Cell: 4.2874 4.2874 3.7409 Å, 90.00 90.00 90.00°
Closest atoms and distances in Å follow each position.
Element x y z (fractional)
Ta 0.0000 0.0000 0.0000  8 F 2.84, 4 N 3.03
Ru 0.5000 0.5000 0.5000  2 N 1.87
N 0.5000 0.5000 0.0000  2 Ru 1.87
F 0.0000 0.5000 0.5000  2 Ru 2.14
F 0.5000 0.0000 0.5000  2 Ru 2.14

No. 6
TaRuNF2: optimized geometry, GGA-PBE.

Summary:
The total energy is -7.12 eV per atom. For the offset from the most stable computed form, the calculation gives 0.0 meV/atom. As for the space group: P4/mmm, No. 123.

Cell: 4.1039 4.1039 4.0629 Å, 90.00 90.00 90.00°
Closest atoms and distances in Å follow each position.
Element x y z (fractional)
Ta 0.0000 0.0000 0.0000  2 N 2.03, 4 F 2.05
Ru 0.5000 0.5000 0.5000  8 F 2.89, 4 N 2.90
N 0.0000 0.0000 0.5000  2 Ta 2.03
F 0.0000 0.5000 0.0000  2 Ta 2.05
F 0.5000 0.0000 0.0000  2 Ta 2.05

No. 7
TcRuN2F: optimized geometry, GGA-PBE.

Summary:
The total energy is -6.77 eV per atom. For the offset from the most stable computed form, the calculation gives 163.3 meV/atom. As for the space group: P4/mmm, No. 123.

Cell: 3.8723 3.8723 4.1441 Å, 90.00 90.00 90.00°
Closest atoms and distances in Å follow each position.
Element x y z (fractional)
Tc 0.0000 0.0000 0.0000  4 F 2.74, 8 N 2.84
Ru 0.5000 0.5000 0.5000  4 N 1.94, 2 F 2.07
N 0.0000 0.5000 0.5000  2 Ru 1.94
N 0.5000 0.0000 0.5000  2 Ru 1.94
F 0.5000 0.5000 0.0000  2 Ru 2.07

No. 8
TcRuN2F: optimized geometry, GGA-PBE.

Summary:
The total energy is -6.93 eV per atom. For the offset from the most stable computed form, the calculation gives 0.0 meV/atom. As for the space group: P4/mmm, No. 123.

Cell: 3.8901 3.8901 4.0697 Å, 90.00 90.00 90.00°
Closest atoms and distances in Å follow each position.
Element x y z (fractional)
Tc 0.0000 0.0000 0.0000  4 N 1.95, 2 F 2.03
Ru 0.5000 0.5000 0.5000  4 F 2.75, 8 N 2.81
N 0.0000 0.5000 0.0000  2 Tc 1.95
N 0.5000 0.0000 0.0000  2 Tc 1.95
F 0.0000 0.0000 0.5000  2 Tc 2.03